[1]
Below is Ba2SeCl after structural relaxation, with properties calculated at the GGA-PBE level.

mass density	4.61	Mg/m³
DFT total energy	-16.88	eV per formula unit
formation energy without anion corrections	-1.927	eV/atom

Lattice parameters (Å, degrees): 6.527 4.635 4.630 90.00 90.00 90.00
Fractional coordinates of all 4 atoms:
1 Cl 0.000 0.375 0.375
2 Se 0.500 0.875 0.875
3 Ba 0.500 0.375 0.375
4 Ba 0.000 0.875 0.875

=====

[2]
Below is Ba2SeCl after structural relaxation, with properties calculated at the GGA-PBE level.

mass density	5.26	Mg/m³
DFT total energy	-16.29	eV per formula unit
formation energy without anion corrections	-1.777	eV/atom

Lattice parameters (Å, degrees): 5.580 5.580 5.580 60.00 60.00 60.00
Fractional coordinates of all 4 atoms:
1 Ba 0.250 0.250 0.250
2 Cl 0.000 0.000 0.000
3 Ba 0.750 0.750 0.750
4 Se 0.500 0.500 0.500

=====

[3]
Below is Ba2SeCl2 after structural relaxation, with properties calculated at the GGA-PBE level.

mass density	4.00	Mg/m³
DFT total energy	-22.65	eV per formula unit
formation energy without anion corrections	-2.326	eV/atom

Lattice parameters (Å, degrees): 4.968 4.968 8.255 89.99 90.00 120.00
Fractional coordinates of all 5 atoms:
1 Cl 0.167 0.333 0.129
2 Ba 0.833 0.667 0.275
3 Cl 0.833 0.667 0.871
4 Se 0.500 0.000 0.500
5 Ba 0.167 0.333 0.725

=====

[4]
Below is Ba4Se3Cl after structural relaxation, with properties calculated at the GGA-PBE level.

mass density	4.72	Mg/m³
DFT total energy	-36.06	eV per formula unit
formation energy without anion corrections	-2.008	eV/atom

Lattice parameters (Å, degrees): 6.613 6.613 8.098 114.10 114.10 90.00
Fractional coordinates of all 8 atoms:
1 Ba 0.500 0.000 0.000
2 Se 0.250 0.750 0.500
3 Ba 0.745 0.745 0.490
4 Ba 0.000 0.500 0.000
5 Se 0.750 0.250 0.500
6 Se 0.500 0.500 0.000
7 Cl 0.000 0.000 0.000
8 Ba 0.255 0.255 0.510